Record 1
PBE AcPuBe, optimized geometry; uncorrected energy = -6.303 eV per atom; ΔE to the lowest computed polymorph = 0.133 eV per atom; space group = No. 216; magnetization = 5.73 μB per cell
1.0
-2.749 -3.155 2.684
-0.429 0.636 4.912
-4.322 1.503 1.944
Ac Be Pu
1 1 1
Direct
0.000 0.000 0.000
0.250 0.250 0.250
0.750 0.750 0.750

***

Record 2
PBE AcBeRe, optimized geometry; uncorrected energy = -5.760 eV per atom; ΔE to the lowest computed polymorph = 0.071 eV per atom; space group = No. 216; magnetization = 0.00 μB per cell
1.0
0.000 3.194 3.194
3.194 0.000 3.194
3.194 3.194 0.000
Ac Be Re
1 1 1
Direct
0.250 0.250 0.250
0.750 0.750 0.750
0.000 0.000 0.000

***

Record 3
PBE AcBeRe, optimized geometry; uncorrected energy = -4.785 eV per atom; ΔE to the lowest computed polymorph = 1.046 eV per atom; space group = No. 216; magnetization = 1.61 μB per cell
1.0
0.845 -3.599 -2.897
-3.534 -2.744 -1.429
-1.459 0.183 -4.461
Ac Be Re
1 1 1
Direct
0.000 0.000 0.000
0.250 0.250 0.250
0.750 0.750 0.750

***

Record 4
PBE AcBeRe, optimized geometry; uncorrected energy = -5.830 eV per atom; ΔE to the lowest computed polymorph = 0.000 eV per atom; space group = No. 216; magnetization = 0.53 μB per cell
1.0
0.000 3.173 3.173
3.173 0.000 3.173
3.173 3.173 0.000
Ac Be Re
1 1 1
Direct
0.500 0.500 0.500
0.250 0.250 0.250
0.000 0.000 0.000

***

Record 5
PBE AcSmBe, optimized geometry; uncorrected energy = -3.826 eV per atom; ΔE to the lowest computed polymorph = 0.000 eV per atom; space group = No. 216; magnetization = 0.01 μB per cell
1.0
-4.157 -1.445 -2.509
-4.506 1.970 1.216
-2.295 3.220 -3.166
Ac Be Sm
1 1 1
Direct
0.250 0.250 0.250
0.000 0.000 0.000
0.750 0.750 0.750

***

Record 6
PBE AcTaBe, optimized geometry; uncorrected energy = -4.636 eV per atom; ΔE to the lowest computed polymorph = 0.979 eV per atom; space group = No. 216; magnetization = 1.87 μB per cell
1.0
3.595 -1.778 -2.812
1.629 -4.565 0.703
-0.970 -3.483 -3.304
Ac Be Ta
1 1 1
Direct
0.000 0.000 0.000
0.250 0.250 0.250
0.750 0.750 0.750

***

Record 7
PBE AcTaBe, optimized geometry; uncorrected energy = -5.615 eV per atom; ΔE to the lowest computed polymorph = 0.000 eV per atom; space group = No. 216; magnetization = 0.00 μB per cell
1.0
3.214 -3.119 -1.202
1.232 -3.327 2.985
-1.224 -4.401 -0.798
Ac Be Ta
1 1 1
Direct
0.250 0.250 0.250
0.000 0.000 0.000
0.750 0.750 0.750

***

Record 8
PBE AcTbBe, optimized geometry; uncorrected energy = -3.795 eV per atom; ΔE to the lowest computed polymorph = 0.000 eV per atom; space group = No. 216; magnetization = 0.01 μB per cell
1.0
0.000 3.561 3.561
3.561 0.000 3.561
3.561 3.561 0.000
Ac Be Tb
1 1 1
Direct
0.250 0.250 0.250
0.000 0.000 0.000
0.750 0.750 0.750

***

Record 9
PBE AcTbBe, optimized geometry; uncorrected energy = -3.097 eV per atom; ΔE to the lowest computed polymorph = 0.698 eV per atom; space group = No. 216; magnetization = 0.01 μB per cell
1.0
0.000 3.577 3.577
3.577 0.000 3.577
3.577 3.577 0.000
Ac Be Tb
1 1 1
Direct
0.000 0.000 0.000
0.250 0.250 0.250
0.750 0.750 0.750

***

Record 10
PBE AcBeW, optimized geometry; uncorrected energy = -4.834 eV per atom; ΔE to the lowest computed polymorph = 0.957 eV per atom; space group = No. 216; magnetization = 2.97 μB per cell
1.0
0.000 3.473 3.473
3.473 0.000 3.473
3.473 3.473 0.000
Ac Be W
1 1 1
Direct
0.000 0.000 0.000
0.250 0.250 0.250
0.750 0.750 0.750

***

Record 11
PBE AcBeW, optimized geometry; uncorrected energy = -5.791 eV per atom; ΔE to the lowest computed polymorph = 0.000 eV per atom; space group = No. 216; magnetization = 0.03 μB per cell
1.0
1.904 1.096 3.963
-1.302 3.755 2.177
-2.399 -0.319 3.831
Ac Be W
1 1 1
Direct
0.250 0.250 0.250
0.000 0.000 0.000
0.750 0.750 0.750

***

Record 12
PBE AcZrBe, optimized geometry; uncorrected energy = -4.896 eV per atom; ΔE to the lowest computed polymorph = 0.000 eV per atom; space group = No. 216; magnetization = 0.07 μB per cell
1.0
0.000 3.400 3.400
3.400 0.000 3.400
3.400 3.400 0.000
Ac Be Zr
1 1 1
Direct
0.250 0.250 0.250
0.000 0.000 0.000
0.750 0.750 0.750